Record 1
4
Lattice="4.1578 0.0143 0.0205 3.1568 2.7059 0.0205 0.7931 0.2949 4.6688" Properties=species:S:1:pos:R:3 comment="AlCoSi2 (PBE, optimized geometry)" total_magnetization_mub_per_cell=0.2 formation_energy_uncorrected_ev_per_atom=-0.09 energy_ev_per_atom=-5.52 pbc="T T T"
Si 7.2527 2.6972 0.1892
Si 4.1156 1.5306 2.2066
Co 2.0269 0.7538 1.1774
Al 6.0807 2.2614 3.5323



Record 2
4
Lattice="-0.9856 -0.4647 3.0361 4.9317 -0.2050 1.5696 3.5766 4.5384 1.8558" Properties=species:S:1:pos:R:3 comment="Al2NiBr (PBE, optimized geometry)" total_magnetization_mub_per_cell=0.0 formation_energy_uncorrected_ev_per_atom=0.13 polymorph_energy_ev_per_atom=0.403 energy_ev_per_atom=-3.60 pbc="T T T"
Al 4.9669 2.2261 1.9531
Ni 5.8885 3.0177 4.0871
Al 7.7957 4.2741 3.1849
Br 1.6343 0.8510 2.3744



Record 3
8
Lattice="-1.0906 -6.4980 2.7203 6.6712 -0.0686 2.5107 1.3035 -1.3579 6.6187" Properties=species:S:1:pos:R:3 comment="LiLa2N (PBE, optimized geometry)" total_magnetization_mub_per_cell=0.0 formation_energy_uncorrected_ev_per_atom=-0.52 energy_ev_per_atom=-5.54 pbc="T T T"
La 0.3597 -5.1149 3.9641
Li 5.3825 -2.3549 5.8725
N 0.0000 0.0000 0.0000
N 1.5016 -5.5696 5.9772
Li 2.7903 -3.2833 2.6155
La 6.5851 -6.7716 9.8138
La 2.3459 -3.4734 6.6530
La 4.4775 -0.4890 3.2685



Record 4
5
Lattice="-0.0633 -2.4720 4.6942 -1.3399 -4.2461 -2.2541 5.1105 -1.2889 -0.6099" Properties=species:S:1:pos:R:3 comment="KY2ScAl (PBE, optimized geometry)" formation_energy_ev_per_atom=1.293 total_magnetization_mub_per_cell=0.0 energy_ev_per_atom=-3.53 pbc="T T T"
Y -0.0316 -1.2360 2.3471
Y 2.5552 -0.6445 -0.3049
Al 1.8537 -4.0035 0.9151
Sc -0.6700 -2.1230 -1.1270
K 0.0000 0.0000 0.0000



no.,calculated volume (Å³/cell)
1,52.3
2,79.2
3,238.0
4,140.5